## Dy6PdRu2 (PBE)

Data for Dy6PdRu2 after structural relaxation. Values from VASP.

```
&SYSTEM
  ibrav = 0, nat = 18, ntyp = 3
/
ATOMIC_SPECIES
Dy 162.50 Dy.upf
Pd 106.42 Pd.upf
Ru 101.07 Ru.upf
CELL_PARAMETERS angstrom
-4.687 4.720 5.035
4.687 -4.720 5.035
4.687 4.720 -5.035
ATOMIC_POSITIONS crystal
Dy 0.056 0.248 0.808
Dy 0.179 0.273 0.452
Dy 0.179 0.727 0.906
Dy 0.330 0.015 0.685
Dy 0.330 0.645 0.315
Dy 0.439 0.248 0.192
Dy 0.561 0.752 0.808
Dy 0.670 0.355 0.685
Dy 0.670 0.985 0.315
Dy 0.821 0.273 0.094
Dy 0.821 0.727 0.548
Dy 0.944 0.752 0.192
Pd 0.000 0.000 0.000
Pd 0.500 0.500 0.000
Ru 0.124 0.624 0.500
Ru 0.325 0.000 0.325
Ru 0.675 0.000 0.675
Ru 0.876 0.376 0.500
```

**N(E_F)**: 0.829 states/eV per atom
**Final energy**: -6.131 eV per atom
**Theoretical density**: 9.6 g cm⁻³
**ΔE_f**: -41 kJ/mol of atoms
**M_tot**: 0.00 μB per cell
**Crystal system**: orthorhombic